#A
## LuGaCuPt (PBE)

Data for a relaxed LuGaCuPt crystal.

It has space group P6_3mc (No. 186), with a = 4.3501 Å, b = 4.3501 Å, c = 8.6288 Å, α = 90.00°, β = 90.00° and γ = 120.00°. The asymmetric unit holds Lu at (0.3333, 0.6667, 0.0000), Ga at (0.0000, 0.0000, 0.2630), Cu at (0.3333, 0.6667, 0.6684) and Pt at (0.3333, 0.6667, 0.3369).

#B
## LuGaCuPt (PBE)

Data for a relaxed LuGaCuPt crystal.

It has space group P-3m1 (No. 164), with a = 4.3389 Å, b = 4.3389 Å, c = 8.6189 Å, α = 90.00°, β = 90.00° and γ = 120.00°. The asymmetric unit holds Lu at (0.3333, 0.6667, 0.2501), Ga at (0.0000, 0.0000, 0.0000), Ga at (0.0000, 0.0000, 0.5000), Cu at (0.3333, 0.6667, 0.9230) and Pt at (0.3333, 0.6667, 0.5975).

#C
## LuGaCuPt (PBE)

Data for a relaxed LuGaCuPt crystal.

It has space group F-43m (No. 216), with a = 6.518 Å, b = 6.518 Å, c = 6.518 Å, α = 90.00°, β = 90.00° and γ = 90.00°. The asymmetric unit holds Lu at (0.000, 0.000, 0.000), Ga at (0.250, 0.250, 0.250), Cu at (0.000, 0.000, 0.500) and Pt at (0.250, 0.250, 0.750).

Which is most stable, and by how much? #A, by 0.025 eV/atom.

#A
## LuZnGaCu (PBE)

Data for a relaxed LuZnGaCu crystal.

It has space group F-43m (No. 216), with a = 6.472 Å, b = 6.472 Å, c = 6.472 Å, α = 90.00°, β = 90.00° and γ = 90.00°. The asymmetric unit holds Lu at (0.000, 0.000, 0.000), Zn at (0.250, 0.250, 0.750), Ga at (0.250, 0.250, 0.250) and Cu at (0.000, 0.000, 0.500).

#B
## LuZnGaCu (PBE)

Data for a relaxed LuZnGaCu crystal.

It has space group F-43m (No. 216), with a = 6.440 Å, b = 6.440 Å, c = 6.440 Å, α = 90.00°, β = 90.00° and γ = 90.00°. The asymmetric unit holds Lu at (0.000, 0.000, 0.000), Zn at (0.250, 0.250, 0.250), Ga at (0.000, 0.000, 0.500) and Cu at (0.250, 0.250, 0.750).

Which is most stable, and by how much? #B, by 0.043 eV/atom.

#A
## MgTaGaCu (PBE)

Data for a relaxed MgTaGaCu crystal.

It has space group F-43m (No. 216), with a = 6.368 Å, b = 6.368 Å, c = 6.368 Å, α = 90.00°, β = 90.00° and γ = 90.00°. The asymmetric unit holds Mg at (0.000, 0.000, 0.000), Ta at (0.250, 0.250, 0.250), Ga at (0.000, 0.000, 0.500) and Cu at (0.250, 0.250, 0.750).

#B
## MgTaGaCu (PBE)

Data for a relaxed MgTaGaCu crystal.

It has space group F-43m (No. 216), with a = 6.369 Å, b = 6.369 Å, c = 6.369 Å, α = 90.00°, β = 90.00° and γ = 90.00°. The asymmetric unit holds Mg at (0.000, 0.000, 0.000), Ta at (0.250, 0.250, 0.750), Ga at (0.250, 0.250, 0.250) and Cu at (0.000, 0.000, 0.500).

Which is most stable, and by how much? #A, by 0.108 eV/atom.

#A
## GaCuMoOs (PBE)

Data for a relaxed GaCuMoOs crystal.

It has space group F-43m (No. 216), with a = 6.115 Å, b = 6.115 Å, c = 6.115 Å, α = 90.00°, β = 90.00° and γ = 90.00°. The asymmetric unit holds Ga at (0.000, 0.000, 0.000), Cu at (0.250, 0.250, 0.750), Mo at (0.000, 0.000, 0.500) and Os at (0.250, 0.250, 0.250).

#B
## GaCuMoOs (PBE)

Data for a relaxed GaCuMoOs crystal.

It has space group F-43m (No. 216), with a = 6.065 Å, b = 6.065 Å, c = 6.065 Å, α = 90.00°, β = 90.00° and γ = 90.00°. The asymmetric unit holds Ga at (0.000, 0.000, 0.000), Cu at (0.000, 0.000, 0.500), Mo at (0.250, 0.250, 0.250) and Os at (0.250, 0.250, 0.750).

Which is most stable, and by how much? #A, by 0.192 eV/atom.